# RbBi, optimized geometry, DFT PBE
# N(E_F) (states/eV/f.u.): 1.1
# Mass density (Mg/m³): 5.3
data_RbBi
_cell_length_a 7.142
_cell_length_b 14.279
_cell_length_c 7.178
_cell_angle_alpha 90.00
_cell_angle_beta 90.00
_cell_angle_gamma 90.00
_symmetry_space_group_name_H-M 'P b c m'
_symmetry_Int_Tables_number 57
_symmetry_space_group_name_Hall '-P 2c 2b'
loop_
_atom_site_label
_atom_site_type_symbol
_atom_site_fract_x
_atom_site_fract_y
_atom_site_fract_z
_atom_site_occupancy
Rb1 Rb 0.121 0.169 0.250 1
Rb2 Rb 0.338 0.005 0.750 1
Bi1 Bi 0.158 0.606 0.750 1
Bi2 Bi 0.377 0.750 0.000 1


# BeAlAg2, optimized geometry, DFT PBE
# N(E_F) (states/eV/f.u.): 0.7
# Mass density (Mg/m³): 6.8
data_BeAlAg2
_cell_length_a 3.065
_cell_length_b 4.680
_cell_length_c 8.527
_cell_angle_alpha 90.00
_cell_angle_beta 90.00
_cell_angle_gamma 90.00
_symmetry_space_group_name_H-M 'C m m m'
_symmetry_Int_Tables_number 65
_symmetry_space_group_name_Hall '-C 2 2'
loop_
_atom_site_label
_atom_site_type_symbol
_atom_site_fract_x
_atom_site_fract_y
_atom_site_fract_z
_atom_site_occupancy
Be1 Be 0.000 0.000 0.000 1
Al1 Al 0.000 0.000 0.500 1
Ag1 Ag 0.000 0.500 0.226 1


Number 1: distance to the lowest polymorph of the same formula 42 meV per atom. Number 2: distance to the lowest polymorph of the same formula 110 meV per atom.